# NaMg2AgI | Alexandria via LeMat-Bulk | PBE | optimized geometry
data_NaMg2AgI
_chemical_formula_sum 'Na1 Mg2 Ag1 I1'
_cell_length_a 5.970
_cell_length_b 5.970
_cell_length_c 5.576
_cell_angle_alpha 90.00
_cell_angle_beta 90.00
_cell_angle_gamma 90.00
_symmetry_space_group_name_H-M 'P 1'
_symmetry_Int_Tables_number 1
loop_
_symmetry_equiv_pos_as_xyz
'x,y,z'
loop_
_atom_site_label
_atom_site_fract_x
_atom_site_fract_y
_atom_site_fract_z
_atom_site_occupancy
Mg1 0.500 0.000 0.000 1
I1 0.000 0.000 0.500 1
Ag1 0.500 0.500 0.500 1
Mg2 0.000 0.500 0.000 1
Na1 0.000 0.000 0.000 1
# Magnetization (μB/cell): 0.0
# Calculated total energy (eV per atom): -1.28

=====

# NaMgAgI4 | Alexandria via LeMat-Bulk | PBE | optimized geometry
data_NaMgAgI4
_chemical_formula_sum 'Na2 Mg2 Ag2 I8'
_cell_length_a 8.978
_cell_length_b 8.934
_cell_length_c 8.856
_cell_angle_alpha 119.71
_cell_angle_beta 90.00
_cell_angle_gamma 120.16
_symmetry_space_group_name_H-M 'P 1'
_symmetry_Int_Tables_number 1
loop_
_symmetry_equiv_pos_as_xyz
'x,y,z'
loop_
_atom_site_label
_atom_site_fract_x
_atom_site_fract_y
_atom_site_fract_z
_atom_site_occupancy
I1 0.234 0.957 0.729 1
I2 0.766 0.043 0.271 1
I3 0.753 0.506 0.735 1
Ag1 0.888 0.777 0.138 1
Na1 0.500 0.000 0.000 1
Mg1 0.500 0.500 0.500 1
I4 0.247 0.494 0.265 1
Na2 0.500 0.000 0.500 1
Ag2 0.112 0.223 0.862 1
I5 0.723 0.957 0.729 1
I6 0.247 0.494 0.729 1
Mg2 0.000 0.500 0.500 1
I7 0.753 0.506 0.271 1
I8 0.277 0.043 0.271 1
# Magnetization (μB/cell): 0.0
# Calculated total energy (eV per atom): -2.56

=====

# MgAgI2O | Alexandria via LeMat-Bulk | PBE | optimized geometry
data_MgAgI2O
_chemical_formula_sum 'Mg1 Ag1 I2 O1'
_cell_length_a 5.965
_cell_length_b 5.965
_cell_length_c 3.693
_cell_angle_alpha 90.00
_cell_angle_beta 90.00
_cell_angle_gamma 90.00
_symmetry_space_group_name_H-M 'P 1'
_symmetry_Int_Tables_number 1
loop_
_symmetry_equiv_pos_as_xyz
'x,y,z'
loop_
_atom_site_label
_atom_site_fract_x
_atom_site_fract_y
_atom_site_fract_z
_atom_site_occupancy
I1 0.500 0.000 0.000 1
O1 0.000 0.000 0.500 1
I2 0.000 0.500 0.000 1
Mg1 0.000 0.000 0.000 1
Ag1 0.500 0.500 0.500 1
# Energy above the lowest structure with this stoichiometry (kJ/mol of atoms): 0.0
# Magnetization (μB/cell): 0.0

=====

# MgAgI2O | Alexandria via LeMat-Bulk | PBE | optimized geometry
data_MgAgI2O
_chemical_formula_sum 'Mg1 Ag1 I2 O1'
_cell_length_a 5.787
_cell_length_b 5.787
_cell_length_c 4.037
_cell_angle_alpha 90.00
_cell_angle_beta 90.00
_cell_angle_gamma 90.00
_symmetry_space_group_name_H-M 'P 1'
_symmetry_Int_Tables_number 1
loop_
_symmetry_equiv_pos_as_xyz
'x,y,z'
loop_
_atom_site_label
_atom_site_fract_x
_atom_site_fract_y
_atom_site_fract_z
_atom_site_occupancy
I1 0.000 0.500 0.000 1
O1 0.000 0.000 0.500 1
I2 0.500 0.000 0.000 1
Ag1 0.000 0.000 0.000 1
Mg1 0.500 0.500 0.500 1
# Energy above the lowest structure with this stoichiometry (kJ/mol of atoms): 48.7
# Magnetization (μB/cell): 0.0

=====

# MgAg2IO4 | Alexandria via LeMat-Bulk | PBE | optimized geometry
data_MgAg2IO4
_chemical_formula_sum 'Mg1 Ag2 I1 O4'
_cell_length_a 6.317
_cell_length_b 6.782
_cell_length_c 6.351
_cell_angle_alpha 138.24
_cell_angle_beta 135.00
_cell_angle_gamma 65.53
_symmetry_space_group_name_H-M 'P 1'
_symmetry_Int_Tables_number 1
loop_
_symmetry_equiv_pos_as_xyz
'x,y,z'
loop_
_atom_site_label
_atom_site_fract_x
_atom_site_fract_y
_atom_site_fract_z
_atom_site_occupancy
Ag1 0.214 0.210 0.420 1
O1 0.096 0.580 0.441 1
O2 0.761 0.059 0.517 1
O3 0.759 0.459 0.522 1
O4 0.345 0.859 0.438 1
Mg1 0.996 0.497 0.992 1
Ag2 0.483 0.991 0.978 1
I1 0.732 0.732 0.465 1
# Magnetization (μB/cell): 0.0
# Calculated total energy (eV per atom): -4.25

=====

# Mg2AgIO6 | Alexandria via LeMat-Bulk | PBE | optimized geometry
data_Mg2AgIO6
_chemical_formula_sum 'Mg2 Ag1 I1 O6'
_cell_length_a 5.370
_cell_length_b 5.370
_cell_length_c 5.805
_cell_angle_alpha 62.43
_cell_angle_beta 62.42
_cell_angle_gamma 60.00
_symmetry_space_group_name_H-M 'P 1'
_symmetry_Int_Tables_number 1
loop_
_symmetry_equiv_pos_as_xyz
'x,y,z'
loop_
_atom_site_label
_atom_site_fract_x
_atom_site_fract_y
_atom_site_fract_z
_atom_site_occupancy
Mg1 0.526 0.526 0.422 1
Ag1 0.794 0.794 0.618 1
Mg2 0.009 0.009 0.974 1
I1 0.327 0.327 0.020 1
O1 0.257 0.954 0.223 1
O2 0.709 0.162 0.771 1
O3 0.358 0.709 0.771 1
O4 0.162 0.358 0.771 1
O5 0.954 0.566 0.223 1
O6 0.566 0.257 0.223 1
# Magnetization (μB/cell): 0.0
# Calculated total energy (eV per atom): -4.98

=====

What did the third record say?
# MgAgI2O | Alexandria via LeMat-Bulk | PBE | optimized geometry
data_MgAgI2O
_chemical_formula_sum 'Mg1 Ag1 I2 O1'
_cell_length_a 5.965
_cell_length_b 5.965
_cell_length_c 3.693
_cell_angle_alpha 90.00
_cell_angle_beta 90.00
_cell_angle_gamma 90.00
_symmetry_space_group_name_H-M 'P 1'
_symmetry_Int_Tables_number 1
loop_
_symmetry_equiv_pos_as_xyz
'x,y,z'
loop_
_atom_site_label
_atom_site_fract_x
_atom_site_fract_y
_atom_site_fract_z
_atom_site_occupancy
I1 0.500 0.000 0.000 1
O1 0.000 0.000 0.500 1
I2 0.000 0.500 0.000 1
Mg1 0.000 0.000 0.000 1
Ag1 0.500 0.500 0.500 1
# Energy above the lowest structure with this stoichiometry (kJ/mol of atoms): 0.0
# Magnetization (μB/cell): 0.0